# Cs2Tl5Pd

A relaxed Cs2Tl5Pd crystal (PBE, the Alexandria database).

abc: 15.1386 6.8283 6.8286
angles: 90.00 116.77 90.00
Space group Cm (No. 8)
One atom of each set of equivalent atoms:
Cs  0.0000  0.0000  0.0000
Cs  0.9999  0.5000  0.4988
Tl  0.0904  0.0000  0.5904
Tl  0.2632  0.2476  0.0108
Tl  0.2636  0.2475  0.5163
Pd  0.3732  0.5000  0.3728

Values from the calculation:
Energy relative to the elements: -0.23 eV/f.u.
E_tot: -2.37 eV/atom
Mass density: 7.35 Mg/m³



# ZrSc3Ag3Se8

A relaxed ZrSc3Ag3Se8 crystal (PBE, the Alexandria database).

abc: 13.5554 7.8235 8.0842
angles: 90.00 124.20 90.00
Space group C2/m (No. 12)
One atom of each set of equivalent atoms:
Zr  0.0000  0.0000  0.0000
Sc  0.0000  0.5000  0.0000
Sc  0.2500  0.2500  0.0000
Ag  0.0000  0.0000  0.5000
Ag  0.2500  0.2500  0.5000
Se  0.0065  0.2503  0.7706
Se  0.2438  0.0000  0.2293
Se  0.2443  0.5000  0.2317

Values from the calculation:
E_tot: -5.36 eV/atom
Mass density: 5.53 Mg/m³
Formation energy from raw total energies: -16.43 eV per formula unit



# K2CoTc

A relaxed K2CoTc crystal (PBE, the Alexandria database).

abc: 7.2504 7.2504 7.2504
angles: 90.00 90.00 90.00
Space group F-43m (No. 216)
One atom of each set of equivalent atoms:
K  0.0000  0.0000  0.0000
K  0.2500  0.2500  0.2500
Co  0.0000  0.0000  0.5000
Tc  0.2500  0.2500  0.7500

Values from the calculation:
Energy relative to the elements: 6.21 eV/f.u.
ΔE to the lowest computed polymorph: 784 meV/atom
E_tot: -3.36 eV/atom
Mass density: 4.10 Mg/m³



# Tl2CrCl

A relaxed Tl2CrCl crystal (PBE, the Alexandria database).

abc: 5.8140 6.2431 7.0184
angles: 75.31 75.18 68.67
Space group P1 (No. 1)
One atom of each set of equivalent atoms:
Tl  0.0000  0.0000  0.0000
Tl  0.0772  0.5618  0.7346
Tl  0.1709  0.1001  0.4169
Tl  0.5304  0.0597  0.8007
Cr  0.5566  0.3013  0.3487
Cr  0.7907  0.9231  0.4108
Cl  0.5318  0.5027  0.0149
Cl  0.6569  0.5930  0.4589

Values from the calculation:
ΔE to the lowest computed polymorph: 31 meV/atom
E_tot: -4.10 eV/atom
Mass density: 7.30 Mg/m³
Formation energy from raw total energies: -0.19 eV per formula unit